Material: LiRu2Cl
Method: DFT, GGA-PBE
State: relaxed

The structure in POSCAR format:
```
LiRu2Cl
1.0
2.755 0.000 0.000
0.000 4.753 0.000
0.000 0.000 4.923
Li Ru Cl
1 2 1
direct
0.000 0.000 0.000 Li
0.500 0.251 0.500 Ru
0.500 0.749 0.500 Ru
0.000 0.500 0.000 Cl
```

Values from the calculation:
DOS at the Fermi energy, states/eV/cell: 4.405
SG: Pmmm, No. 47
Excess energy over the best structure of this formula in the dataset, meV per atom: 693
Raw total energy, eV per formula unit: -19.77
Raw formation energy, meV/atom: 636.1
Magnetic moment, μB per atom: 0.001